## Fe3AgW (PBE)

Data for a geometry-optimized Fe3AgW structure.

```
data_Fe3AgW
_symmetry_space_group_name_H-M 'P m -3 m'
_symmetry_Int_Tables_number 221
_symmetry_space_group_name_Hall '-P 4 2 3'
_cell_length_a 4.573
_cell_length_b 4.573
_cell_length_c 4.573
_cell_angle_alpha 90.00
_cell_angle_beta 90.00
_cell_angle_gamma 90.00
loop_
_atom_site_label
_atom_site_type_symbol
_atom_site_fract_x
_atom_site_fract_y
_atom_site_fract_z
Fe1 Fe 0.000 0.000 0.500
Ag1 Ag 0.000 0.000 0.000
W1 W 0.500 0.500 0.500
```

Results
energy above the lowest structure with this stoichiometry	302.0	kJ/mol of formula units